A geometry-optimized Ba2MgCd structure. Source: Alexandria, functional GGA-PBE. Values from VASP.

## Properties
Raw total energy, eV per atom: -1.561

Cell and atoms, written as Quantum ESPRESSO input:
```
&SYSTEM
  ibrav = 0, nat = 4, ntyp = 3
/
ATOMIC_SPECIES
Ba 137.33 Ba.upf
Cd 112.41 Cd.upf
Mg 24.30 Mg.upf
CELL_PARAMETERS angstrom
-1.574 2.927 -4.786
0.511 -0.565 -5.777
-6.890 -3.625 -1.726
ATOMIC_POSITIONS crystal
Ba 0.996 0.996 0.008
Ba 0.504 0.504 0.492
Cd 0.250 0.250 0.250
Mg 0.750 0.750 0.750
```


A geometry-optimized LaSN2Cl structure. Source: Alexandria, functional GGA-PBE. Values from VASP.

## Properties
Offset from the most stable computed form, eV per atom: 0.000
Uncorrected formation energy, eV per atom: 0.802

Cell and atoms, written as Quantum ESPRESSO input:
```
&SYSTEM
  ibrav = 0, nat = 5, ntyp = 4
/
ATOMIC_SPECIES
N 14.01 N.upf
S 32.06 S.upf
Cl 35.45 Cl.upf
La 138.91 La.upf
CELL_PARAMETERS angstrom
4.192 0.000 0.000
0.000 4.192 0.000
0.000 0.000 4.423
ATOMIC_POSITIONS crystal
N 0.000 0.500 0.000
N 0.500 0.000 0.000
S 0.000 0.000 0.500
Cl 0.000 0.000 0.000
La 0.500 0.500 0.500
```


A geometry-optimized GaHgPb structure. Source: Alexandria, functional GGA-PBE. Values from VASP.

## Properties
Offset from the most stable computed form, eV per atom: 0.009

Cell and atoms, written as Quantum ESPRESSO input:
```
&SYSTEM
  ibrav = 0, nat = 6, ntyp = 3
/
ATOMIC_SPECIES
Ga 69.72 Ga.upf
Hg 200.59 Hg.upf
Pb 207.20 Pb.upf
CELL_PARAMETERS angstrom
4.993 0.000 0.001
2.496 4.324 0.000
-0.005 0.002 7.166
ATOMIC_POSITIONS crystal
Ga 0.629 0.979 0.793
Ga 0.962 0.312 0.789
Hg 0.629 0.979 0.356
Hg 0.962 0.312 0.226
Pb 0.296 0.645 0.554
Pb 0.295 0.646 0.028
```


A geometry-optimized CsBeBr3 structure. Source: Alexandria, functional GGA-PBE. Values from VASP.

## Properties
Offset from the most stable computed form, eV per atom: 0.235
Uncorrected formation energy, eV per atom: -1.136

Cell and atoms, written as Quantum ESPRESSO input:
```
&SYSTEM
  ibrav = 0, nat = 10, ntyp = 3
/
ATOMIC_SPECIES
Cs 132.91 Cs.upf
Be 9.01 Be.upf
Br 79.90 Br.upf
CELL_PARAMETERS angstrom
7.912 0.000 0.000
0.000 7.912 0.000
3.956 3.956 5.379
ATOMIC_POSITIONS crystal
Cs 0.750 0.250 0.500
Cs 0.250 0.750 0.500
Be 0.500 0.500 0.000
Be 0.000 0.000 0.000
Br 0.186 0.186 0.628
Br 0.814 0.814 0.372
Br 0.291 0.291 0.000
Br 0.709 0.709 0.000
Br 0.709 0.291 0.000
Br 0.291 0.709 0.000
```


The calculation returns the following M_tot values, one per record and in order: 0.000; 0.001; 0.000; 0.000 μB per atom.
The calculation returns the following calculated volume values, one per record and in order: 44.5; 15.5; 25.8; 33.7 Å³ per atom.